[1]
Density functional theory data (PBE) for a relaxed structure of Ce2AuC.

E = -24.58 eV/cell
total moment = 1.4 Bohr magnetons per cell
ΔE_f = -0.05 eV per atom

a b c (Å): 9.0885 9.0885 9.0885
angles (deg): 21.79 21.79 21.79
With the nearest neighbours (Å) after each atom.
Fractional coordinates of all 4 atoms:
Ce: 0.1121 0.1121 0.1121  3 C 2.46
Ce: 0.8879 0.8879 0.8879  3 C 2.46
Au: 0.0000 0.0000 0.0000  2 Ce 2.98
C: 0.5000 0.5000 0.5000  6 Ce 2.46

***

[2]
Density functional theory data (PBE) for a relaxed structure of HoBe3Ge3.

E = -56.45 eV/cell
total moment = 0.0 Bohr magnetons per cell
ΔE_f = 0.20 eV per atom

a b c (Å): 6.2450 6.2450 6.2450
angles (deg): 90.00 90.00 90.00
With the nearest neighbours (Å) after each atom.
Fractional coordinates of all 14 atoms:
Ho: 0.0000 0.0000 0.0000  12 Ge 3.49, 12 Be 3.49
Ho: 0.5000 0.5000 0.5000  12 Ge 3.49, 12 Be 3.49
Be: 0.0000 0.2500 0.5000  4 Ge 2.21
Be: 0.0000 0.7500 0.5000  4 Ge 2.21
Be: 0.2500 0.5000 0.0000  4 Ge 2.21
Be: 0.5000 0.0000 0.2500  4 Ge 2.21
Be: 0.5000 0.0000 0.7500  4 Ge 2.21
Be: 0.7500 0.5000 0.0000  4 Ge 2.21
Ge: 0.0000 0.5000 0.2500  4 Be 2.21
Ge: 0.0000 0.5000 0.7500  4 Be 2.21
Ge: 0.2500 0.0000 0.5000  4 Be 2.21
Ge: 0.5000 0.2500 0.0000  4 Be 2.21
Ge: 0.5000 0.7500 0.0000  4 Be 2.21
Ge: 0.7500 0.0000 0.5000  4 Be 2.21

***

[3]
Density functional theory data (PBE) for a relaxed structure of Ti2PBr.

E = -47.66 eV/cell
total moment = 3.3 Bohr magnetons per cell
formation energy without anion corrections = -0.24 eV/atom

a b c (Å): 6.9894 6.9894 6.9894
angles (deg): 131.73 131.73 70.66
With the nearest neighbours (Å) after each atom.
Fractional coordinates of all 8 atoms:
Ti: 0.0923 0.6250 0.9673  2 P 2.37, 2 Br 2.59
Ti: 0.3750 0.3423 0.4673  2 P 2.37, 2 Br 2.59
Ti: 0.6577 0.1250 0.0327  2 P 2.37, 2 Br 2.59
Ti: 0.8750 0.9077 0.5327  2 P 2.37, 2 Br 2.59
P: 0.0000 0.0000 0.0000  4 Ti 2.37
P: 0.7500 0.2500 0.5000  4 Ti 2.37
Br: 0.2500 0.7500 0.5000  4 Ti 2.59
Br: 0.5000 0.5000 0.0000  4 Ti 2.59